K4TaSb | SCAN | single point on PBEsol structure

Cell and atoms, written as POSCAR:
```
K4TaSb
1.0
0.000 4.657 4.657
4.657 0.000 4.657
4.657 4.657 0.000
K Ta Sb
4 1 1
Cartesian
1.157 1.157 1.157
3.500 3.500 1.157
3.500 1.157 3.500
1.157 3.500 3.500
4.657 4.657 4.657
6.985 6.985 6.985
```

Output
As for the total energy: -21.8763 eV/atom. The calculation puts the magnetic moment at 0.95 μB per atom.